## TaCd2As (GGA-PBEsol)

Data for TaCd2As after structural relaxation.

Calculated values
Total energy: -4.729 eV/atom
M_tot: 0.000 Bohr magnetons per cell
SG: No. 65
Energy of formation: 0.28 eV per atom

```
TaCd2As
1.0
2.902 0.037 0.000
-0.338 2.882 0.000
0.000 0.000 9.178
Ta Cd As
1 2 1
direct
0.500 0.500 0.500
0.000 0.000 0.259
0.000 0.000 0.741
0.500 0.500 0.000
```